Arrangement w

The following is a DFT calculation (PBE-GGA) of a relaxed PuInPd6 crystal.

Properties
M_tot: 4.9 μB per formula unit
Calculated volume: 17.202 Å³/atom

abc: 5.8254 5.8254 4.6824
angles: 90.00 90.00 120.00
Space group P-6m2 (No. 187)
Asymmetric unit:
Pu1 0.0000 0.0000 0.0000
In1 0.6667 0.3333 0.5000
Pd1 0.0020 0.5010 0.0000
Pd2 0.1708 0.3415 0.5000

***

Arrangement x

The following is a DFT calculation (PBE-GGA) of a relaxed PuInPd6 crystal.

Properties
M_tot: 4.3 μB per formula unit
Calculated volume: 17.140 Å³/atom

abc: 4.102 4.102 8.150
angles: 90.00 90.00 90.00
Space group P4/mmm (No. 123)
Asymmetric unit:
Pu1 0.000 0.000 0.000
In1 0.000 0.000 0.500
Pd1 0.000 0.500 0.253
Pd2 0.500 0.500 0.000
Pd3 0.500 0.500 0.500

***

arrangement x ends up most stable, edging out the next structure by 31 meV/atom.

***

Arrangement w

The following is a DFT calculation (PBE-GGA) of a relaxed PuIn2Pd crystal.

Properties
M_tot: 5.6 μB per formula unit
Calculated volume: 23.131 Å³/atom

abc: 4.348 4.348 4.893
angles: 90.00 90.00 90.00
Space group P4/mmm (No. 123)
Asymmetric unit:
Pu1 0.000 0.000 0.000
In1 0.000 0.500 0.500
Pd1 0.500 0.500 0.000

***

Arrangement x

The following is a DFT calculation (PBE-GGA) of a relaxed PuIn2Pd crystal.

Properties
M_tot: 5.9 μB per formula unit
Calculated volume: 22.832 Å³/atom

abc: 3.3145 3.3145 28.7980
angles: 90.00 90.00 120.00
Space group R-3m (No. 166, hexagonal axes)
Asymmetric unit:
Pu1 0.0000 0.0000 0.0000
In1 0.0000 0.0000 0.2377
Pd1 0.0000 0.0000 0.5000

***

arrangement w ends up most stable, edging out the next structure by 23 meV/atom.

***

Arrangement w

The following is a DFT calculation (PBE-GGA) of a relaxed PuIn2Pd crystal.

Properties
M_tot: 5.8 μB per formula unit
Calculated volume: 22.991 Å³/atom

abc: 4.552 10.385 7.782
angles: 90.00 90.00 90.00
Space group Cmcm (No. 63)
Asymmetric unit:
Pu1 0.000 0.068 0.250
In1 0.000 0.359 0.052
Pd1 0.000 0.215 0.750

***

Arrangement x

The following is a DFT calculation (PBE-GGA) of a relaxed PuIn2Pd crystal.

Properties
M_tot: 5.9 μB per formula unit
Calculated volume: 22.660 Å³/atom

abc: 3.3016 3.3016 28.8051
angles: 90.00 90.00 120.00
Space group R3m (No. 160, hexagonal axes)
Asymmetric unit:
Pu1 0.0000 0.0000 0.0000
In1 0.0000 0.0000 0.5710
In2 0.0000 0.0000 0.7621
Pd1 0.0000 0.0000 0.1667

***

arrangement w ends up most stable, edging out the next structure by 190 meV/atom.

***

Arrangement w

The following is a DFT calculation (PBE-GGA) of a relaxed Pu2In3Pd4 crystal.

Properties
M_tot: 11.0 μB per formula unit
Calculated volume: 20.747 Å³/atom

abc: 4.816 4.824 9.264
angles: 89.50 89.70 60.19
Space group P-1 (No. 2)
Asymmetric unit:
Pu1 0.167 0.163 0.222
In1 0.167 0.171 0.586
In2 0.500 0.500 0.000
Pd1 0.167 0.169 0.906
Pd2 0.500 0.494 0.353

***

Arrangement x

The following is a DFT calculation (PBE-GGA) of a relaxed Pu2In3Pd4 crystal.

Properties
M_tot: 11.2 μB per formula unit
Calculated volume: 21.066 Å³/atom

abc: 6.003 17.017 7.424
angles: 90.00 90.00 90.00
Space group Cmce (No. 64)
Asymmetric unit:
Pu1 0.000 0.097 0.093
In1 0.000 0.000 0.500
In2 0.250 0.238 0.750
Pd1 0.000 0.164 0.476
Pd2 0.250 0.074 0.750

***

arrangement x ends up most stable, edging out the next structure by 65 meV/atom.

***

Arrangement w

The following is a DFT calculation (PBE-GGA) of a relaxed Pu3InPd2 crystal.

Properties
M_tot: 5.6 μB per formula unit
Calculated volume: 22.611 Å³/atom

abc: 3.230 3.230 13.000
angles: 90.00 90.00 90.00
Space group P4/mmm (No. 123)
Asymmetric unit:
Pu1 0.000 0.000 0.000
Pu2 0.000 0.000 0.311
In1 0.500 0.500 0.500
Pd1 0.500 0.500 0.155

***

Arrangement x

The following is a DFT calculation (PBE-GGA) of a relaxed Pu3InPd2 crystal.

Properties
M_tot: 17.5 μB per formula unit
Calculated volume: 26.961 Å³/atom

abc: 7.5860 7.5860 19.4755
angles: 90.00 90.00 120.00
Space group R-3c (No. 167, hexagonal axes)
Asymmetric unit:
Pu1 0.0000 0.2739 0.2500
In1 0.0000 0.0000 0.0000
Pd1 0.0000 0.0000 0.1415

***

arrangement w ends up most stable, edging out the next structure by 229 meV/atom.

***

Arrangement w

The following is a DFT calculation (PBE-GGA) of a relaxed PuIn4Pd2 crystal.

Properties
M_tot: 5.5 μB per formula unit
Calculated volume: 22.073 Å³/atom

abc: 18.540 4.574 7.289
angles: 90.00 90.00 90.00
Space group Pnma (No. 62)
Asymmetric unit:
Pu1 0.140 0.250 0.034
In1 0.035 0.750 0.853
In2 0.070 0.250 0.496
In3 0.186 0.750 0.333
In4 0.192 0.750 0.745
Pd1 0.040 0.750 0.247
Pd2 0.218 0.250 0.543

***

Arrangement x

The following is a DFT calculation (PBE-GGA) of a relaxed PuIn4Pd2 crystal.

Properties
M_tot: 5.8 μB per formula unit
Calculated volume: 22.218 Å³/atom

abc: 9.679 9.679 3.320
angles: 90.00 90.00 90.00
Space group P4_2/mnm (No. 136)
Asymmetric unit:
Pu1 0.000 0.000 0.000
In1 0.062 0.302 0.500
Pd1 0.205 0.795 0.500

***

arrangement w ends up most stable, edging out the next structure by 90 meV/atom.

***

Arrangement w

The following is a DFT calculation (PBE-GGA) of a relaxed RbInPd crystal.

Properties
M_tot: 0.0 μB per formula unit
Calculated volume: 34.105 Å³/atom

abc: 4.6257 4.6257 5.5216
angles: 90.00 90.00 120.00
Space group P-6m2 (No. 187)
Asymmetric unit:
Rb1 0.0000 0.0000 0.0000
In1 0.6667 0.3333 0.5000
Pd1 0.3333 0.6667 0.5000

***

Arrangement x

The following is a DFT calculation (PBE-GGA) of a relaxed RbInPd crystal.

Properties
M_tot: 0.0 μB per formula unit
Calculated volume: 31.145 Å³/atom

abc: 3.793 3.793 12.990
angles: 90.00 90.00 90.00
Space group I4mm (No. 107)
Asymmetric unit:
Rb1 0.000 0.000 0.000
In1 0.000 0.000 0.733
Pd1 0.000 0.000 0.262

***

arrangement x ends up most stable, edging out the next structure by 27 meV/atom.

***

Arrangement w

The following is a DFT calculation (PBE-GGA) of a relaxed RbIn4Pd crystal.

Properties
M_tot: 0.0 μB per formula unit
Calculated volume: 31.697 Å³/atom

abc: 6.572 6.572 17.611
angles: 90.00 90.00 90.00
Space group I4/mcm (No. 140)
Asymmetric unit:
Rb1 0.000 0.000 0.000
In1 0.164 0.336 0.170
Pd1 0.000 0.000 0.250

***

Arrangement x

The following is a DFT calculation (PBE-GGA) of a relaxed RbIn4Pd crystal.

Properties
M_tot: 0.0 μB per formula unit
Calculated volume: 28.475 Å³/atom

abc: 8.952 4.287 8.905
angles: 90.00 90.00 90.00
Space group Pmma (No. 51)
Asymmetric unit:
Rb1 0.250 0.000 0.081
In1 0.000 0.000 0.500
In2 0.066 0.500 0.774
In3 0.250 0.500 0.429
Pd1 0.250 0.000 0.666

***

arrangement x ends up most stable, edging out the next structure by 36 meV/atom.